This record from Alexandria describes crystalline Rb2Hg3Te4 at its relaxed geometry. The functional is PBE-GGA.

Geometry as extended XYZ:
```
18
Lattice="7.387 -0.731 0.093 0.327 10.047 0.874 -0.852 -0.703 10.030" Properties=species:S:1:pos:R:3 pbc="T T T"
Hg 6.493 -0.657 1.955
Hg 5.139 2.862 6.596
Hg 0.368 9.270 9.041
Hg 3.003 1.562 0.330
Hg 1.722 5.751 4.401
Hg 3.858 7.051 10.667
Te 0.786 7.969 1.510
Te 1.375 7.970 6.905
Te 3.625 -0.189 8.193
Te 2.076 3.587 1.849
Te 3.236 8.802 2.803
Te 6.075 0.643 9.486
Te 5.487 0.643 4.092
Te 4.785 5.026 9.147
Rb 1.819 1.288 4.716
Rb 5.832 3.834 2.283
Rb 5.043 7.325 6.280
Rb 1.030 4.778 8.714
```

**Total magnetization**: 0.00 μB per cell
**Offset from the most stable computed form**: 107.4 meV/atom